Record 1
VASP calculation (GGA-PBE) on crystalline Cs2YNpO6 at its relaxed geometry.

POSCAR file:
```
Cs2YNpO6
1.0
6.502 0.000 0.000
3.251 5.631 0.000
3.251 1.877 10.464
O Cs Np Y
12 4 2 2
direct
0.266 0.813 0.109
0.406 0.815 0.373
0.187 0.187 0.891
0.815 0.406 0.373
0.406 0.406 0.373
0.185 0.594 0.627
0.594 0.185 0.627
0.813 0.266 0.109
0.594 0.594 0.627
0.813 0.813 0.109
0.734 0.187 0.891
0.187 0.734 0.891
0.725 0.725 0.825
0.869 0.869 0.394
0.131 0.131 0.606
0.275 0.275 0.175
0.500 0.500 0.500
0.000 0.000 0.000
0.599 0.599 0.202
0.401 0.401 0.798
```

Summary:
Total magnetic moment: 0.0 μB/f.u.
Calculated volume: 383 Å³/cell
ΔE_f (raw): -2.5894 eV/atom


Record 2
VASP calculation (GGA-PBE) on crystalline CsY2NpO8 at its relaxed geometry.

POSCAR file:
```
CsY2NpO8
1.0
5.136 -0.014 -0.001
0.013 5.136 -0.003
0.007 0.011 7.887
Cs Y Np O
1 2 1 8
direct
0.000 0.000 0.500
0.500 0.500 0.784
0.500 0.500 0.216
0.000 0.000 0.000
0.703 0.704 0.000
0.297 0.296 0.000
0.605 0.606 0.500
0.812 0.189 0.820
0.395 0.394 0.500
0.188 0.811 0.180
0.188 0.811 0.820
0.812 0.189 0.180
```

Summary:
Total magnetic moment: 0.0 μB/f.u.
Calculated volume: 208 Å³/cell
ΔE_f (raw): -2.5879 eV/atom
D(E_F): 1.8 states/eV/f.u.


Record 3
VASP calculation (GGA-PBE) on crystalline Cs4YNp3O12 at its relaxed geometry.

POSCAR file:
```
Cs4YNp3O12
1.0
7.618 0.000 0.000
-2.539 7.182 0.000
-2.539 -3.591 6.220
O Y Cs Np
12 1 4 3
direct
0.000 0.731 0.731
0.500 0.750 0.250
0.269 0.000 0.269
0.250 0.750 0.500
0.250 0.500 0.750
0.500 0.250 0.750
0.269 0.269 0.000
0.750 0.500 0.250
0.731 0.731 0.000
0.731 0.000 0.731
0.000 0.269 0.269
0.750 0.250 0.500
0.000 0.000 0.000
0.000 0.500 0.000
0.500 0.000 0.000
0.500 0.500 0.500
0.000 0.000 0.500
0.500 0.000 0.500
0.500 0.500 0.000
0.000 0.500 0.500
```

Summary:
Total magnetic moment: 4.0 μB/f.u.
Calculated volume: 340 Å³/cell
ΔE_f (raw): -2.6176 eV/atom
D(E_F): 6.6 states/eV/f.u.


Record 4
VASP calculation (GGA-PBE) on crystalline CsNpZn2O6 at its relaxed geometry.

POSCAR file:
```
CsNpZn2O6
1.0
6.783 -1.080 -1.121
1.015 7.021 -0.663
1.015 -0.923 6.992
Cs Zn O Np
2 4 12 2
direct
0.750 0.077 0.923
0.250 0.923 0.077
0.250 0.470 0.225
0.250 0.775 0.530
0.750 0.530 0.775
0.750 0.225 0.470
0.444 0.675 0.324
0.556 0.325 0.676
0.250 0.284 0.396
0.249 0.338 0.964
0.251 0.036 0.662
0.750 0.716 0.604
0.944 0.324 0.675
0.749 0.964 0.338
0.751 0.662 0.036
0.056 0.676 0.325
0.750 0.396 0.284
0.250 0.604 0.716
0.750 0.680 0.320
0.250 0.320 0.680
```

Summary:
Total magnetic moment: 0.0 μB/f.u.
Calculated volume: 346 Å³/cell
ΔE_f (raw): -1.9716 eV/atom


Record 5
VASP calculation (GGA-PBE) on crystalline Cs2NpZnO6 at its relaxed geometry.

POSCAR file:
```
Cs2NpZnO6
1.0
6.861 -0.888 0.006
-0.888 6.861 0.000
2.986 2.989 4.055
O Cs Np Zn
6 2 1 1
direct
0.735 0.735 0.999
0.265 0.265 0.001
0.326 0.674 0.000
0.674 0.326 0.000
0.770 0.770 0.459
0.230 0.230 0.541
0.250 0.750 0.500
0.750 0.250 0.500
0.500 0.500 0.000
0.000 0.000 0.000
```

Summary:
Total magnetic moment: 1.0 μB/f.u.
Calculated volume: 188 Å³/cell
ΔE_f (raw): -1.8906 eV/atom
D(E_F): 3.3 states/eV/f.u.


Record 6
VASP calculation (GGA-PBE) on crystalline Cs2ZrNpO6 at its relaxed geometry.

POSCAR file:
```
Cs2ZrNpO6
1.0
-3.262 -4.546 -3.085
-0.675 -5.787 2.623
-9.947 -0.359 4.431
O Cs Zr Np
12 4 2 2
direct
0.819 0.409 0.364
0.287 0.799 0.114
0.409 0.819 0.364
0.409 0.409 0.364
0.713 0.201 0.886
0.591 0.591 0.636
0.799 0.799 0.114
0.201 0.201 0.886
0.201 0.713 0.886
0.799 0.287 0.114
0.181 0.591 0.636
0.591 0.181 0.636
0.278 0.278 0.165
0.870 0.870 0.391
0.130 0.130 0.609
0.722 0.722 0.835
0.599 0.599 0.204
0.401 0.401 0.796
0.000 0.000 0.000
0.500 0.500 0.500
```

Summary:
Total magnetic moment: 1.0 μB/f.u.
Calculated volume: 362 Å³/cell
ΔE_f (raw): -2.6126 eV/atom
D(E_F): 4.1 states/eV/f.u.


Record 7
VASP calculation (GGA-PBE) on crystalline CsZrNpO6 at its relaxed geometry.

POSCAR file:
```
CsZrNpO6
1.0
7.654 0.000 0.000
0.000 7.996 0.000
-3.827 -3.998 5.482
O Zr Np Cs
12 2 2 2
direct
0.184 0.934 0.367
0.562 0.936 0.759
0.435 0.685 0.870
0.438 0.677 0.241
0.803 0.064 0.241
0.197 0.323 0.759
0.803 0.677 0.241
0.562 0.323 0.759
0.816 0.066 0.633
0.197 0.936 0.759
0.565 0.315 0.130
0.438 0.064 0.241
0.500 0.000 0.500
0.000 0.000 0.500
0.500 0.500 0.000
0.500 0.000 0.000
0.112 0.362 0.223
0.888 0.638 0.777
```

Summary:
Total magnetic moment: 0.0 μB/f.u.
Calculated volume: 335 Å³/cell
ΔE_f (raw): -2.7059 eV/atom


Record 8
VASP calculation (GGA-PBE) on crystalline Cs3Np3OsS8 at its relaxed geometry.

POSCAR file:
```
Cs3Np3OsS8
1.0
-7.332 1.025 2.272
5.253 -2.735 4.988
0.761 9.272 -1.727
Os Np S Cs
1 3 8 3
direct
0.000 0.000 0.500
0.000 0.500 0.500
0.500 0.500 0.500
0.500 0.000 0.500
0.729 0.458 0.686
0.211 0.960 0.671
0.789 0.040 0.329
0.750 0.960 0.671
0.271 0.542 0.314
0.211 0.421 0.671
0.789 0.579 0.329
0.250 0.040 0.329
0.000 0.000 0.000
0.000 0.500 0.000
0.500 0.500 0.000
```

Summary:
Total magnetic moment: 10.0 μB/f.u.
Calculated volume: 433 Å³/cell
ΔE_f (raw): -1.0940 eV/atom
D(E_F): 28.5 states/eV/f.u.


Record 9
VASP calculation (GGA-PBE) on crystalline Cs2NpP2S6 at its relaxed geometry.

POSCAR file:
```
Cs2NpP2S6
1.0
7.038 0.000 0.000
-3.519 5.841 0.038
0.000 -3.209 7.967
S Cs P Np
6 2 2 1
direct
0.259 0.517 0.418
0.220 0.965 0.260
0.780 0.035 0.740
0.254 0.035 0.740
0.746 0.965 0.260
0.741 0.483 0.582
0.299 0.597 0.857
0.701 0.403 0.143
0.083 0.166 0.221
0.917 0.834 0.779
0.500 0.000 0.500
```

Summary:
Total magnetic moment: 3.0 μB/f.u.
Calculated volume: 328 Å³/cell
ΔE_f (raw): -0.7683 eV/atom
D(E_F): 5.6 states/eV/f.u.


Record 10
VASP calculation (GGA-PBE) on crystalline CsNpP2Se8 at its relaxed geometry.

POSCAR file:
```
CsNpP2Se8
1.0
-3.717 -1.693 -5.088
-3.100 -5.741 -0.008
-10.664 2.047 2.926
Se P Cs Np
8 2 1 1
direct
0.807 0.807 0.579
0.305 0.942 0.150
0.695 0.058 0.850
0.193 0.193 0.421
0.398 0.695 0.850
0.602 0.305 0.150
0.942 0.602 0.150
0.058 0.398 0.850
0.740 0.740 0.781
0.260 0.260 0.219
0.500 0.500 0.500
0.000 0.000 0.000
```

Summary:
Total magnetic moment: 1.9 μB/f.u.
Calculated volume: 391 Å³/cell
ΔE_f (raw): -0.4115 eV/atom
D(E_F): 10.3 states/eV/f.u.


Record 11
VASP calculation (GGA-PBE) on crystalline Cs2NpPaS6 at its relaxed geometry.

POSCAR file:
```
Cs2NpPaS6
1.0
7.457 0.000 0.000
0.000 7.456 0.000
3.729 3.728 5.272
Cs S Pa Np
2 6 1 1
direct
0.750 0.250 0.500
0.250 0.750 0.500
0.749 0.251 0.000
0.251 0.749 0.000
0.251 0.251 0.000
0.749 0.749 0.502
0.251 0.251 0.498
0.749 0.749 0.000
0.000 0.000 0.000
0.500 0.500 0.000
```

Summary:
Total magnetic moment: 2.0 μB/f.u.
Calculated volume: 293 Å³/cell
ΔE_f (raw): -1.3928 eV/atom
D(E_F): 7.7 states/eV/f.u.


Record 12
VASP calculation (GGA-PBE) on crystalline CsNpPaS6 at its relaxed geometry.

POSCAR file:
```
CsNpPaS6
1.0
9.487 0.000 0.000
0.000 9.596 0.000
-4.743 -4.798 6.710
Cs S Np Pa
2 12 2 2
direct
0.877 0.627 0.754
0.123 0.373 0.246
0.432 0.083 0.252
0.833 0.083 0.666
0.568 0.917 0.748
0.436 0.686 0.871
0.180 0.917 0.748
0.820 0.083 0.252
0.564 0.314 0.129
0.820 0.669 0.252
0.167 0.917 0.334
0.432 0.669 0.252
0.568 0.331 0.748
0.180 0.331 0.748
0.500 0.000 0.000
0.500 0.500 0.000
0.000 0.000 0.500
0.500 0.000 0.500
```

Summary:
Total magnetic moment: 1.0 μB/f.u.
Calculated volume: 611 Å³/cell
ΔE_f (raw): -1.1741 eV/atom
D(E_F): 2.5 states/eV/f.u.